[1]
A relaxed ZrBeNiPb crystal, computed with GGA-PBE.

a = 4.520 Å, b = 4.520 Å, c = 4.520 Å
α = 60.00°, β = 60.00°, γ = 60.00°
Fractional positions:
Zr 0.000 0.000 0.000
Be 0.250 0.250 0.250
Ni 0.750 0.750 0.750
Pb 0.500 0.500 0.500

The value obtained for the total DFT energy (no corrections) is -5.277 eV per atom. Its calculated volume is 65 Å³/cell.

***

[2]
A relaxed Pm3HgN crystal, computed with GGA-PBE.

a = 4.958 Å, b = 4.958 Å, c = 4.958 Å
α = 90.00°, β = 90.00°, γ = 90.00°
Fractional positions:
Pm 0.000 0.000 0.500
Pm 0.000 0.500 0.000
Pm 0.500 0.000 0.000
Hg 0.500 0.500 0.500
N 0.000 0.000 0.000

The value obtained for the total DFT energy (no corrections) is -5.376 eV per atom. Its calculated volume is 122 Å³/cell.

***

[3]
A relaxed GdErTm2Zn2 crystal, computed with GGA-PBE.

a = 5.191 Å, b = 8.287 Å, c = 8.287 Å
α = 24.88°, β = 90.00°, γ = 90.00°
Fractional positions:
Gd 0.000 0.000 0.000
Er 0.500 0.839 0.839
Tm 0.000 0.698 0.698
Tm 0.500 0.142 0.142
Zn 0.000 0.346 0.346
Zn 0.500 0.492 0.492

Its formation energy from the elements is -5.35 kcal/mol of atoms. Its calculated volume is 150 Å³/cell.

***

[4]
A relaxed ZrFeCuSb crystal, computed with GGA-PBE.

a = 4.473 Å, b = 4.473 Å, c = 4.473 Å
α = 60.00°, β = 60.00°, γ = 60.00°
Fractional positions:
Zr 0.000 0.000 0.000
Fe 0.250 0.250 0.250
Cu 0.750 0.750 0.750
Sb 0.500 0.500 0.500

As for the energy above the most stable polymorph in this dataset: 0 meV/atom. Its calculated volume is 63 Å³/cell.

***

[5]
A relaxed AgSn2Bi crystal, computed with GGA-PBE.

a = 5.281 Å, b = 5.281 Å, c = 5.281 Å
α = 60.00°, β = 60.00°, γ = 60.00°
Fractional positions:
Ag 0.000 0.000 0.000
Sn 0.250 0.250 0.250
Sn 0.500 0.500 0.500
Bi 0.750 0.750 0.750

The value obtained for the total DFT energy (no corrections) is -3.560 eV per atom. Its calculated volume is 104 Å³/cell.

***

[6]
A relaxed CdCu2WSe4 crystal, computed with GGA-PBE.

a = 6.948 Å, b = 6.948 Å, c = 6.948 Å
α = 130.15°, β = 130.15°, γ = 73.16°
Fractional positions:
Cd 0.000 0.000 0.000
Cu 0.250 0.750 0.500
Cu 0.750 0.250 0.500
W 0.500 0.500 0.000
Se 0.135 0.135 0.540
Se 0.405 0.865 0.000
Se 0.595 0.595 0.460
Se 0.865 0.405 0.000

The value obtained for the total DFT energy (no corrections) is -4.536 eV per atom. Its calculated volume is 191 Å³/cell.

***

[7]
A relaxed BaLiErS3 crystal, computed with GGA-PBE.

a = 8.780 Å, b = 8.780 Å, c = 8.550 Å
α = 103.46°, β = 103.46°, γ = 26.66°
Fractional positions:
Ba 0.137 0.137 0.066
Ba 0.863 0.863 0.934
Li 0.495 0.495 0.302
Li 0.505 0.505 0.698
Er 0.164 0.164 0.580
Er 0.836 0.836 0.420
S 0.000 0.000 0.500
S 0.330 0.330 0.633
S 0.331 0.331 0.206
S 0.500 0.500 0.000
S 0.669 0.669 0.794
S 0.670 0.670 0.367

As for the energy above the most stable polymorph in this dataset: 17 meV/atom. Its calculated volume is 287 Å³/cell.

***

[8]
A relaxed ZnCdMo2As4 crystal, computed with GGA-PBE.

a = 7.113 Å, b = 7.113 Å, c = 7.113 Å
α = 131.24°, β = 131.24°, γ = 71.43°
Fractional positions:
Zn 0.000 0.000 0.000
Cd 0.750 0.250 0.500
Mo 0.250 0.750 0.500
Mo 0.500 0.500 0.000
As 0.157 0.648 0.039
As 0.352 0.391 0.509
As 0.609 0.118 0.961
As 0.882 0.843 0.491

The value obtained for the total DFT energy (no corrections) is -5.045 eV per atom. Its calculated volume is 199 Å³/cell.

***

[9]
A relaxed Cu2Ag3 crystal, computed with GGA-PBE.

a = 6.074 Å, b = 6.074 Å, c = 9.368 Å
α = 99.50°, β = 99.50°, γ = 27.11°
Fractional positions:
Cu 0.000 0.000 0.000
Cu 0.203 0.203 0.611
Cu 0.509 0.509 0.523
Cu 0.901 0.901 0.697
Ag 0.103 0.103 0.327
Ag 0.309 0.309 0.894
Ag 0.405 0.405 0.199
Ag 0.594 0.594 0.802
Ag 0.693 0.693 0.104
Ag 0.813 0.813 0.421

As for the energy above the most stable polymorph in this dataset: 50 meV/atom. Its formation energy from the elements is 1.89 kcal/mol of atoms. Its calculated volume is 155 Å³/cell.

***

[10]
A relaxed HoUNi crystal, computed with GGA-PBE.

a = 4.629 Å, b = 4.629 Å, c = 4.629 Å
α = 60.00°, β = 60.00°, γ = 60.00°
Fractional positions:
Ho 0.000 0.000 0.000
U 0.500 0.500 0.500
Ni 0.750 0.750 0.750

As for the energy above the most stable polymorph in this dataset: 0 meV/atom. Its formation energy from the elements is 8.39 kcal/mol of atoms. Its calculated volume is 70 Å³/cell.

***

[11]
A relaxed Pr3Ni2Sn3Ir crystal, computed with GGA-PBE.

a = 7.488 Å, b = 7.488 Å, c = 4.129 Å
α = 90.00°, β = 90.00°, γ = 120.00°
Fractional positions:
Pr 0.000 0.586 0.000
Pr 0.414 0.414 0.000
Pr 0.586 0.000 0.000
Ni 0.333 0.667 0.500
Ni 0.667 0.333 0.500
Sn 0.000 0.252 0.500
Sn 0.252 0.000 0.500
Sn 0.748 0.748 0.500
Ir 0.000 0.000 0.000

The value obtained for the total DFT energy (no corrections) is -5.807 eV per atom. Its calculated volume is 201 Å³/cell.

***

[12]
A relaxed Pr2Cu2SiGe crystal, computed with GGA-PBE.

a = 4.264 Å, b = 4.264 Å, c = 8.017 Å
α = 90.00°, β = 90.00°, γ = 120.00°
Fractional positions:
Pr 0.000 0.000 0.249
Pr 0.000 0.000 0.751
Cu 0.333 0.667 0.000
Cu 0.667 0.333 0.500
Si 0.667 0.333 0.000
Ge 0.333 0.667 0.500

The value obtained for the total DFT energy (no corrections) is -5.129 eV per atom. Its calculated volume is 126 Å³/cell.

***

[13]
A relaxed ScCoTcB crystal, computed with GGA-PBE.

a = 4.108 Å, b = 4.108 Å, c = 4.108 Å
α = 60.00°, β = 60.00°, γ = 60.00°
Fractional positions:
Sc 0.000 0.000 0.000
Co 0.750 0.750 0.750
Tc 0.250 0.250 0.250
B 0.500 0.500 0.500

As for the energy above the most stable polymorph in this dataset: 0 meV/atom. Its calculated volume is 49 Å³/cell.

***

[14]
A relaxed Ge2Ir9 crystal, computed with GGA-PBE.

a = 2.764 Å, b = 2.764 Å, c = 36.600 Å
α = 90.00°, β = 90.00°, γ = 120.00°
Fractional positions:
Ge 0.333 0.667 0.302
Ge 0.667 0.333 0.698
Ir 0.000 0.000 0.000
Ir 0.000 0.000 0.182
Ir 0.000 0.000 0.818
Ir 0.333 0.667 0.121
Ir 0.333 0.667 0.757
Ir 0.333 0.667 0.939
Ir 0.667 0.333 0.061
Ir 0.667 0.333 0.243
Ir 0.667 0.333 0.879

The value obtained for the total DFT energy (no corrections) is -8.019 eV per atom. Its calculated volume is 242 Å³/cell.

***

[15]
A relaxed Sr3Cu2Re2 crystal, computed with GGA-PBE.

a = 12.733 Å, b = 12.733 Å, c = 12.733 Å
α = 19.49°, β = 19.49°, γ = 19.49°
Fractional positions:
Sr 0.000 0.000 0.000
Sr 0.235 0.235 0.235
Sr 0.761 0.761 0.761
Cu 0.147 0.147 0.147
Cu 0.621 0.621 0.621
Re 0.501 0.501 0.501
Re 0.842 0.842 0.842

The value obtained for the total DFT energy (no corrections) is -5.128 eV per atom. Its calculated volume is 201 Å³/cell.

***

[16]
A relaxed ReBAu crystal, computed with GGA-PBE.

a = 4.085 Å, b = 4.085 Å, c = 4.085 Å
α = 60.00°, β = 60.00°, γ = 60.00°
Fractional positions:
Re 0.000 0.000 0.000
B 0.250 0.250 0.250
Au 0.750 0.750 0.750

As for the energy above the most stable polymorph in this dataset: 0 meV/atom. Its calculated volume is 48 Å³/cell.

***

[17]
A relaxed Nd2InCuSe4 crystal, computed with GGA-PBE.

a = 7.489 Å, b = 7.489 Å, c = 14.644 Å
α = 90.00°, β = 90.00°, γ = 147.51°
Fractional positions:
Nd 0.135 0.865 0.565
Nd 0.135 0.865 0.935
Nd 0.865 0.135 0.065
Nd 0.865 0.135 0.435
In 0.393 0.607 0.750
In 0.607 0.393 0.250
Cu 0.338 0.662 0.250
Cu 0.662 0.338 0.750
Se 0.064 0.936 0.750
Se 0.232 0.768 0.117
Se 0.232 0.768 0.383
Se 0.500 0.500 0.000
Se 0.500 0.500 0.500
Se 0.768 0.232 0.617
Se 0.768 0.232 0.883
Se 0.936 0.064 0.250

The value obtained for the total DFT energy (no corrections) is -5.010 eV per atom. Its calculated volume is 441 Å³/cell.

***

[18]
A relaxed KDyAgTe3 crystal, computed with GGA-PBE.

a = 16.464 Å, b = 4.319 Å, c = 11.544 Å
α = 90.00°, β = 90.00°, γ = 90.00°
Fractional positions:
K 0.231 0.250 0.041
K 0.269 0.750 0.541
K 0.731 0.250 0.459
K 0.769 0.750 0.959
Dy 0.021 0.250 0.339
Dy 0.479 0.750 0.839
Dy 0.521 0.250 0.161
Dy 0.979 0.750 0.661
Ag 0.015 0.750 0.093
Ag 0.485 0.250 0.593
Ag 0.515 0.750 0.407
Ag 0.985 0.250 0.907
Te 0.095 0.750 0.872
Te 0.101 0.250 0.579
Te 0.141 0.750 0.259
Te 0.359 0.250 0.759
Te 0.399 0.750 0.079
Te 0.405 0.250 0.372
Te 0.595 0.750 0.628
Te 0.601 0.250 0.921
Te 0.641 0.750 0.241
Te 0.859 0.250 0.741
Te 0.899 0.750 0.421
Te 0.905 0.250 0.128

The value obtained for the total DFT energy (no corrections) is -3.903 eV per atom. Its calculated volume is 821 Å³/cell.

***

[19]
A relaxed Er4CuSi3 crystal, computed with GGA-PBE.

a = 5.657 Å, b = 3.926 Å, c = 7.604 Å
α = 90.00°, β = 90.92°, γ = 90.00°
Fractional positions:
Er 0.000 0.000 0.000
Er 0.240 0.500 0.656
Er 0.502 0.500 0.154
Er 0.746 0.000 0.519
Cu 0.738 0.500 0.798
Si 0.249 0.000 0.368
Si 0.497 0.000 0.870
Si 0.993 0.500 0.290

The value obtained for the total DFT energy (no corrections) is -5.454 eV per atom. Its calculated volume is 169 Å³/cell.

***

[20]
A relaxed Nd6Fe13Si crystal, computed with GGA-PBE.

a = 12.735 Å, b = 12.735 Å, c = 12.735 Å
α = 143.58°, β = 143.58°, γ = 52.46°
Fractional positions:
Nd 0.024 0.524 0.168
Nd 0.109 0.109 0.000
Nd 0.144 0.976 0.500
Nd 0.356 0.856 0.832
Nd 0.391 0.391 0.000
Nd 0.476 0.644 0.500
Nd 0.524 0.356 0.500
Nd 0.609 0.609 0.000
Nd 0.644 0.144 0.168
Nd 0.856 0.024 0.500
Nd 0.891 0.891 0.000
Nd 0.976 0.476 0.832
Fe 0.000 0.500 0.500
Fe 0.017 0.291 0.500
Fe 0.067 0.209 0.275
Fe 0.118 0.618 0.857
Fe 0.209 0.483 0.500
Fe 0.209 0.933 0.142
Fe 0.239 0.739 0.857
Fe 0.261 0.118 0.500
Fe 0.291 0.433 0.725
Fe 0.291 0.791 0.274
Fe 0.382 0.239 0.500
Fe 0.433 0.709 0.142
Fe 0.483 0.983 0.274
Fe 0.500 0.000 0.500
Fe 0.517 0.017 0.726
Fe 0.567 0.291 0.858
Fe 0.618 0.761 0.500
Fe 0.709 0.209 0.726
Fe 0.709 0.567 0.275
Fe 0.739 0.882 0.500
Fe 0.761 0.261 0.143
Fe 0.791 0.067 0.858
Fe 0.791 0.517 0.500
Fe 0.882 0.382 0.143
Fe 0.933 0.791 0.725
Fe 0.983 0.709 0.500
Si 0.250 0.250 0.000
Si 0.750 0.750 0.000

The value obtained for the total DFT energy (no corrections) is -7.168 eV per atom. Its calculated volume is 724 Å³/cell.